{
  "formula": "Ac2CeGe4Pd3",
  "functional": "PBE",
  "state": "optimized geometry",
  "spacegroup": "P-4m2 (115)",
  "crystal_system": "tetragonal",
  "magnetic_moment_mub_per_fu": 0.4,
  "e_form_ev_per_atom": -0.76,
  "final_energy_ry_per_atom": -0.4100,
  "n_ef_per_ev_cell": 7.67,
  "lattice_angstrom": [[-0.4269, -0.5293, -4.4040], [4.4214, 0.3046, -0.4651], [0.9197, -11.3963, 1.2805]],
  "species": ["Ac", "Ac", "Ge", "Pd", "Ge", "Pd", "Pd", "Ge", "Ce", "Ge"],
  "fractional_positions": [[0.5000, 0.0000, 0.2264], [0.0000, 0.5000, 0.7736], [0.5000, 0.5000, 0.0000], [0.5000, 0.0000, 0.8863], [0.0000, 0.0000, 0.0000], [0.0000, 0.5000, 0.1137], [0.0000, 0.0000, 0.5000], [0.0000, 0.5000, 0.3365], [0.5000, 0.5000, 0.5000], [0.5000, 0.0000, 0.6635]]
}

=====

{
  "formula": "AcCe2Ge2Pd7",
  "functional": "PBE",
  "state": "optimized geometry",
  "spacegroup": "C2/m (12)",
  "crystal_system": "monoclinic",
  "magnetic_moment_mub_per_fu": 1.9,
  "e_form_ev_per_atom": -0.70,
  "final_energy_ry_per_atom": -0.4286,
  "n_ef_per_ev_cell": 18.58,
  "lattice_angstrom": [[4.2095, 0.0450, -0.0879], [0.0502, 4.2095, -0.0879], [1.8237, 1.8215, 13.7844]],
  "species": ["Pd", "Pd", "Pd", "Ge", "Ge", "Ce", "Pd", "Pd", "Pd", "Pd", "Ac", "Ce"],
  "fractional_positions": [[0.9404, 0.4415, 0.1634], [0.4415, 0.9404, 0.1634], [0.5585, 0.0596, 0.8366], [0.5946, 0.5946, 0.7401], [0.4054, 0.4054, 0.2599], [0.1191, 0.1191, 0.6457], [0.3473, 0.3473, 0.4393], [0.0596, 0.5585, 0.8366], [0.5000, 0.5000, 0.0000], [0.6527, 0.6527, 0.5607], [0.0000, 0.0000, 0.0000], [0.8809, 0.8809, 0.3543]]
}

=====

{
  "formula": "AcCeGe2Pd2",
  "functional": "PBE",
  "state": "optimized geometry",
  "spacegroup": "P-3m1 (164)",
  "crystal_system": "trigonal",
  "magnetic_moment_mub_per_fu": 0.0,
  "e_form_ev_per_atom": -0.90,
  "final_energy_ry_per_atom": -0.4293,
  "n_ef_per_ev_cell": 6.84,
  "lattice_angstrom": [[4.4136, 0.0000, 0.0000], [-2.2068, 3.8223, 0.0000], [0.0000, 0.0000, 8.2194]],
  "species": ["Ge", "Pd", "Pd", "Ce", "Ge", "Ac"],
  "fractional_positions": [[0.3333, 0.6667, 0.2795], [0.3333, 0.6667, 0.7379], [0.6667, 0.3333, 0.2621], [0.0000, 0.0000, 0.5000], [0.6667, 0.3333, 0.7205], [0.0000, 0.0000, 0.0000]]
}

=====

{
  "formula": "AcCeGe2Pt2",
  "functional": "PBE",
  "state": "optimized geometry",
  "spacegroup": "P-3m1 (164)",
  "crystal_system": "trigonal",
  "magnetic_moment_mub_per_fu": 0.0,
  "e_form_ev_per_atom": -1.05,
  "final_energy_ry_per_atom": -0.4615,
  "n_ef_per_ev_cell": 7.02,
  "lattice_angstrom": [[4.4036, 0.0000, 0.0000], [-2.2018, 3.8136, 0.0000], [0.0000, 0.0000, 8.2298]],
  "species": ["Ac", "Ge", "Pt", "Ce", "Ge", "Pt"],
  "fractional_positions": [[0.0000, 0.0000, 0.0000], [0.3333, 0.6667, 0.7229], [0.6667, 0.3333, 0.7342], [0.0000, 0.0000, 0.5000], [0.6667, 0.3333, 0.2771], [0.3333, 0.6667, 0.2658]]
}

=====

{
  "formula": "AcCeGePt",
  "functional": "PBE",
  "state": "optimized geometry",
  "spacegroup": "P4/nmm (129)",
  "crystal_system": "tetragonal",
  "magnetic_moment_mub_per_fu": 0.6,
  "e_form_ev_per_atom": -0.67,
  "final_energy_ry_per_atom": -0.4300,
  "e_above_lowest_polymorph_ev_per_atom": 0.047,
  "n_ef_per_ev_cell": 12.94,
  "lattice_angstrom": [[-1.0488, 4.3177, 1.6271], [-4.3197, -0.3324, -1.9025], [-3.6800, -4.3276, 9.1118]],
  "species": ["Ce", "Ge", "Ce", "Pt", "Pt", "Ac", "Ge", "Ac"],
  "fractional_positions": [[0.5000, 0.5000, 0.5000], [0.0000, 0.5000, 0.1216], [0.0000, 0.0000, 0.5000], [0.5000, 0.0000, 0.6534], [0.0000, 0.5000, 0.3466], [0.5000, 0.0000, 0.1640], [0.5000, 0.0000, 0.8784], [0.0000, 0.5000, 0.8360]]
}

=====

{
  "formula": "AcCe2Ge2Pt2",
  "functional": "PBE",
  "state": "optimized geometry",
  "spacegroup": "R-3m (166)",
  "crystal_system": "trigonal",
  "magnetic_moment_mub_per_fu": 1.2,
  "e_form_ev_per_atom": -0.91,
  "final_energy_ry_per_atom": -0.4587,
  "n_ef_per_ev_cell": 8.94,
  "lattice_angstrom": [[4.4865, 0.0000, 0.0000], [2.2433, 3.8855, 0.0000], [2.2433, 1.2952, 9.2522]],
  "species": ["Ac", "Pt", "Ce", "Ce", "Ge", "Ge", "Pt"],
  "fractional_positions": [[0.0000, 0.0000, 0.0000], [0.5804, 0.5804, 0.2589], [0.8604, 0.8604, 0.4188], [0.1396, 0.1396, 0.5812], [0.7429, 0.7429, 0.7712], [0.2571, 0.2571, 0.2288], [0.4196, 0.4196, 0.7411]]
}

=====

{
  "formula": "AcCeGePt",
  "functional": "PBE",
  "state": "optimized geometry",
  "spacegroup": "F-43m (216)",
  "crystal_system": "cubic",
  "magnetic_moment_mub_per_fu": 1.0,
  "e_form_ev_per_atom": -0.72,
  "final_energy_ry_per_atom": -0.4334,
  "e_above_lowest_polymorph_ev_per_atom": 0.000,
  "n_ef_per_ev_cell": 8.03,
  "lattice_angstrom": [[5.2923, 0.0000, 0.0000], [2.6461, 4.5832, 0.0000], [2.6461, 1.5277, 4.3211]],
  "species": ["Ac", "Ge", "Pt", "Ce"],
  "fractional_positions": [[0.5000, 0.5000, 0.5000], [0.2500, 0.2500, 0.2500], [0.7500, 0.7500, 0.7500], [0.0000, 0.0000, 0.0000]]
}

=====

{
  "formula": "Ac2CeGe4Pt3",
  "functional": "PBE",
  "state": "optimized geometry",
  "spacegroup": "P-4m2 (115)",
  "crystal_system": "tetragonal",
  "magnetic_moment_mub_per_fu": 0.4,
  "e_form_ev_per_atom": -0.87,
  "final_energy_ry_per_atom": -0.4371,
  "n_ef_per_ev_cell": 7.48,
  "lattice_angstrom": [[-0.7915, 3.0245, -3.1701], [-4.3814, -0.5419, 0.5769], [0.0155, 8.2827, 7.8986]],
  "species": ["Ge", "Ac", "Ce", "Ge", "Ge", "Ge", "Ac", "Pt", "Pt", "Pt"],
  "fractional_positions": [[0.5000, 0.0000, 0.6644], [0.0000, 0.5000, 0.7715], [0.5000, 0.5000, 0.5000], [0.5000, 0.5000, 0.0000], [0.0000, 0.5000, 0.3356], [0.0000, 0.0000, 0.0000], [0.5000, 0.0000, 0.2285], [0.5000, 0.0000, 0.8873], [0.0000, 0.5000, 0.1127], [0.0000, 0.0000, 0.5000]]
}

=====

{
  "formula": "AcCe2Ge2Pt7",
  "functional": "PBE",
  "state": "optimized geometry",
  "spacegroup": "C2/m (12)",
  "crystal_system": "monoclinic",
  "magnetic_moment_mub_per_fu": 1.8,
  "e_form_ev_per_atom": -0.84,
  "final_energy_ry_per_atom": -0.4752,
  "n_ef_per_ev_cell": 17.27,
  "lattice_angstrom": [[-0.5196, 3.0737, -2.8832], [-3.8196, -1.4358, -1.1743], [-7.6699, 8.6516, 8.0190]],
  "species": ["Pt", "Ac", "Pt", "Pt", "Ge", "Ce", "Ge", "Ce", "Pt", "Pt", "Pt", "Pt"],
  "fractional_positions": [[0.6237, 0.6237, 0.5677], [0.0000, 0.0000, 0.0000], [0.4315, 0.9263, 0.1663], [0.0737, 0.5685, 0.8337], [0.6106, 0.6106, 0.7414], [0.1255, 0.1255, 0.6412], [0.3894, 0.3894, 0.2586], [0.8745, 0.8745, 0.3588], [0.3763, 0.3763, 0.4323], [0.5000, 0.5000, 0.0000], [0.9263, 0.4315, 0.1663], [0.5685, 0.0737, 0.8337]]
}

=====

{
  "formula": "Ac2CeGe3Pt12",
  "functional": "PBE",
  "state": "optimized geometry",
  "spacegroup": "R-3m (166)",
  "crystal_system": "trigonal",
  "magnetic_moment_mub_per_fu": 0.0,
  "e_form_ev_per_atom": -0.43,
  "final_energy_ry_per_atom": -0.4419,
  "n_ef_per_ev_cell": 9.28,
  "lattice_angstrom": [[-3.2232, -7.4010, 0.0522], [3.1289, -5.3303, 5.1927], [-4.5189, -1.9912, 6.3861]],
  "species": ["Pt", "Pt", "Ac", "Ge", "Pt", "Ge", "Pt", "Pt", "Pt", "Pt", "Ce", "Pt", "Pt", "Pt", "Ac", "Pt", "Pt", "Ge"],
  "fractional_positions": [[0.0920, 0.6461, 0.6461], [0.6461, 0.0920, 0.6461], [0.6028, 0.6028, 0.6028], [0.0000, 0.5000, 0.0000], [0.1396, 0.1396, 0.6071], [0.5000, 0.0000, 0.0000], [0.6071, 0.1396, 0.1396], [0.8604, 0.3929, 0.8604], [0.3929, 0.8604, 0.8604], [0.8604, 0.8604, 0.3929], [0.0000, 0.0000, 0.0000], [0.3539, 0.3539, 0.9080], [0.6461, 0.6461, 0.0920], [0.3539, 0.9080, 0.3539], [0.3972, 0.3972, 0.3972], [0.9080, 0.3539, 0.3539], [0.1396, 0.6071, 0.1396], [0.0000, 0.0000, 0.5000]]
}

=====

{
  "formula": "AcCeGeRh",
  "functional": "PBE",
  "state": "optimized geometry",
  "spacegroup": "F-43m (216)",
  "crystal_system": "cubic",
  "magnetic_moment_mub_per_fu": 0.4,
  "e_form_ev_per_atom": -0.50,
  "final_energy_ry_per_atom": -0.4414,
  "e_above_lowest_polymorph_ev_per_atom": 0.023,
  "n_ef_per_ev_cell": 5.84,
  "lattice_angstrom": [[5.2228, 0.0000, 0.0000], [2.6114, 4.5231, 0.0000], [2.6114, 1.5077, 4.2644]],
  "species": ["Ce", "Ge", "Ac", "Rh"],
  "fractional_positions": [[0.0000, 0.0000, 0.0000], [0.2500, 0.2500, 0.2500], [0.5000, 0.5000, 0.5000], [0.7500, 0.7500, 0.7500]]
}

=====

{
  "formula": "AcCeGe2Rh2",
  "functional": "PBE",
  "state": "optimized geometry",
  "spacegroup": "P-3m1 (164)",
  "crystal_system": "trigonal",
  "magnetic_moment_mub_per_fu": 0.0,
  "e_form_ev_per_atom": -0.85,
  "final_energy_ry_per_atom": -0.4785,
  "n_ef_per_ev_cell": 7.63,
  "lattice_angstrom": [[4.3665, 0.0000, 0.0000], [-2.1832, 3.7815, 0.0000], [0.0000, 0.0000, 8.1074]],
  "species": ["Ge", "Ge", "Rh", "Rh", "Ac", "Ce"],
  "fractional_positions": [[0.6667, 0.3333, 0.7284], [0.3333, 0.6667, 0.2716], [0.6667, 0.3333, 0.2772], [0.3333, 0.6667, 0.7228], [0.0000, 0.0000, 0.0000], [0.0000, 0.0000, 0.5000]]
}

=====

{
  "formula": "AcCeGeRh",
  "functional": "PBE",
  "state": "optimized geometry",
  "spacegroup": "P4/nmm (129)",
  "crystal_system": "tetragonal",
  "magnetic_moment_mub_per_fu": 0.7,
  "e_form_ev_per_atom": -0.53,
  "final_energy_ry_per_atom": -0.4431,
  "e_above_lowest_polymorph_ev_per_atom": 0.000,
  "n_ef_per_ev_cell": 12.74,
  "lattice_angstrom": [[4.7689, 0.0000, 0.0000], [0.0000, 4.7689, 0.0000], [0.0000, 0.0000, 10.3315]],
  "species": ["Rh", "Ce", "Ge", "Ge", "Rh", "Ac", "Ce", "Ac"],
  "fractional_positions": [[0.5000, 0.0000, 0.6331], [0.5000, 0.5000, 0.5000], [0.5000, 0.0000, 0.8655], [0.0000, 0.5000, 0.1345], [0.0000, 0.5000, 0.3669], [0.0000, 0.5000, 0.8369], [0.0000, 0.0000, 0.5000], [0.5000, 0.0000, 0.1631]]
}